## LaNi2Sb2 (PBE)

Data for a relaxed LaNi2Sb2 crystal.

Calculated values
total magnetic moment = 0.00 μB per atom
formation energy from raw total energies = -0.34 eV/atom

abc: 7.581 7.581 3.552
angles: 90.00 90.00 90.00
Fractional positions:
La 0.000 0.000 0.000
La 0.500 0.500 0.000
Ni 0.114 0.386 0.000
Ni 0.386 0.886 0.000
Ni 0.614 0.114 0.000
Ni 0.886 0.614 0.000
Sb 0.166 0.666 0.500
Sb 0.334 0.166 0.500
Sb 0.666 0.834 0.500
Sb 0.834 0.334 0.500